# NaMg3Se4O12 | Alexandria via LeMat-Bulk | PBE | relaxed
data_NaMg3Se4O12
_space_group_name_H-M_alt 'R 3 2'
_space_group_IT_number 155
_space_group_name_Hall 'R 3 2"'
_cell_length_a 10.6575
_cell_length_b 10.6575
_cell_length_c 8.1791
_cell_angle_alpha 90.00
_cell_angle_beta 90.00
_cell_angle_gamma 120.00
loop_
_atom_site_label
_atom_site_fract_x
_atom_site_fract_y
_atom_site_fract_z
Na1 0.0000 0.0000 0.0000
Mg1 0.0000 0.5751 0.0000
Se1 0.0000 0.0000 0.5000
Se2 0.0000 0.4092 0.5000
O1 0.0000 0.5703 0.5000
O2 0.0000 0.8289 0.5000
O3 0.0443 0.1922 0.2155
# ΔE_f (raw)   -1.092 eV/atom
# Total magnetic moment   0.000 μB/atom
# E_tot   -5.07 eV/atom


# Na2MgSeO4 | Alexandria via LeMat-Bulk | PBE | relaxed
data_Na2MgSeO4
_space_group_name_H-M_alt 'I -4 2 m'
_space_group_IT_number 121
_space_group_name_Hall 'I -4 2'
_cell_length_a 6.1096
_cell_length_b 6.1096
_cell_length_c 5.5966
_cell_angle_alpha 90.00
_cell_angle_beta 90.00
_cell_angle_gamma 90.00
loop_
_atom_site_label
_atom_site_fract_x
_atom_site_fract_y
_atom_site_fract_z
Na1 0.0000 0.5000 0.0000
Mg1 0.0000 0.0000 0.0000
Se1 0.0000 0.0000 0.5000
O1 0.1640 0.1640 0.2576
# ΔE_f (raw)   -1.277 eV/atom
# Total magnetic moment   0.000 μB/atom
# E_tot   -4.72 eV/atom


# Na3MgSi2O6 | Alexandria via LeMat-Bulk | PBE | relaxed
data_Na3MgSi2O6
_space_group_name_H-M_alt 'P -3 m 1'
_space_group_IT_number 164
_space_group_name_Hall '-P 3 2"'
_cell_length_a 5.5632
_cell_length_b 5.5632
_cell_length_c 6.3714
_cell_angle_alpha 90.00
_cell_angle_beta 90.00
_cell_angle_gamma 120.00
loop_
_atom_site_label
_atom_site_fract_x
_atom_site_fract_y
_atom_site_fract_z
Na1 0.0000 0.0000 0.0000
Na2 0.3333 0.6667 0.7228
Mg1 0.0000 0.0000 0.5000
Si1 0.3333 0.6667 0.2532
O1 0.1695 0.3390 0.2897
# ΔE_f (raw)   -2.076 eV/atom
# Total magnetic moment   0.036 μB/atom
# E_tot   -5.92 eV/atom


# Na2MgSiO4 | Alexandria via LeMat-Bulk | PBE | relaxed
data_Na2MgSiO4
_space_group_name_H-M_alt 'P 1 c 1'
_space_group_IT_number 7
_space_group_name_Hall 'P -2yc'
_cell_length_a 5.3349
_cell_length_b 5.5743
_cell_length_c 8.8160
_cell_angle_alpha 90.00
_cell_angle_beta 127.02
_cell_angle_gamma 90.00
loop_
_atom_site_label
_atom_site_fract_x
_atom_site_fract_y
_atom_site_fract_z
Na1 0.0000 0.1666 0.0000
Na2 0.2516 0.3174 0.7551
Mg1 0.7363 0.3141 0.2491
Si1 0.4848 0.1875 0.5018
O1 0.1490 0.2128 0.4720
O2 0.4364 0.2900 0.3096
O3 0.5892 0.0992 0.0324
O4 0.7551 0.3451 0.6927
# ΔE_f (raw)   -2.460 eV/atom
# Total magnetic moment   0.000 μB/atom
# E_tot   -6.15 eV/atom


- What is the E_tot in the fourth record?
  -6.15 eV/atom


- Which formula does entry 1 have?
  NaMg3Se4O12